(1)
# Dy2MgSn | the Alexandria database | PBE | relaxed
# Spin magnetization in μB/cell: 0.00
# VASP energy in eV per formula unit: -16.4
# Calculated volume in Å³/cell: 106
data_Dy2MgSn
_chemical_formula_sum 'Dy2 Mg1 Sn1'
_symmetry_space_group_name_H-M 'P 4/m m m'
_symmetry_Int_Tables_number 123
_symmetry_space_group_name_Hall '-P 4 2'
_cell_length_a 3.872
_cell_length_b 3.872
_cell_length_c 7.088
_cell_angle_alpha 90.00
_cell_angle_beta 90.00
_cell_angle_gamma 90.00
loop_
_atom_site_label
_atom_site_type_symbol
_atom_site_fract_x
_atom_site_fract_y
_atom_site_fract_z
Dy1 Dy 0.000 0.000 0.249
Mg1 Mg 0.500 0.500 0.500
Sn1 Sn 0.500 0.500 0.000

***

(2)
# DyMg2Sn3 | the Alexandria database | PBE | relaxed
# Spin magnetization in μB/cell: 0.00
# Calculated volume in Å³/cell: 294
# Excess energy over the best structure of this formula in the dataset in eV per atom: 0.000
data_DyMg2Sn3
_chemical_formula_sum 'Dy2 Mg4 Sn6'
_symmetry_space_group_name_H-M 'C m m m'
_symmetry_Int_Tables_number 65
_symmetry_space_group_name_Hall '-C 2 2'
_cell_length_a 4.684
_cell_length_b 14.421
_cell_length_c 4.352
_cell_angle_alpha 90.00
_cell_angle_beta 90.00
_cell_angle_gamma 90.00
loop_
_atom_site_label
_atom_site_type_symbol
_atom_site_fract_x
_atom_site_fract_y
_atom_site_fract_z
Dy1 Dy 0.000 0.000 0.000
Mg1 Mg 0.000 0.330 0.000
Sn1 Sn 0.000 0.169 0.500
Sn2 Sn 0.000 0.500 0.500